Below is CaCd4Se after structural relaxation, with properties calculated at the PBE-GGA level.

Calculated values
Total magnetic moment (μB/f.u.): 0.00

a = 5.995 Å, b = 5.995 Å, c = 5.995 Å
α = 60.00°, β = 60.00°, γ = 60.00°
Positions (direct):
Ca: 0.000 0.000 0.000
Cd: 0.875 0.375 0.375
Cd: 0.375 0.375 0.875
Cd: 0.375 0.875 0.375
Cd: 0.375 0.375 0.375
Se: 0.750 0.750 0.750

Below is Ca4CdSe after structural relaxation, with properties calculated at the PBE-GGA level.

Calculated values
Total magnetic moment (μB/f.u.): 0.33

a = 6.687 Å, b = 6.687 Å, c = 6.687 Å
α = 60.00°, β = 60.00°, γ = 60.00°
Positions (direct):
Ca: 0.375 0.875 0.375
Ca: 0.875 0.375 0.375
Ca: 0.375 0.375 0.875
Ca: 0.375 0.375 0.375
Cd: 0.750 0.750 0.750
Se: 0.000 0.000 0.000

Below is CaCd2Se after structural relaxation, with properties calculated at the PBE-GGA level.

Calculated values
Total magnetic moment (μB/f.u.): 0.00

a = 5.520 Å, b = 5.520 Å, c = 5.520 Å
α = 127.96°, β = 127.96°, γ = 76.69°
Positions (direct):
Ca: 0.750 0.250 0.500
Se: 0.500 0.500 0.000
Cd: 0.000 0.000 0.000
Cd: 0.250 0.750 0.500

Below is CaCd2Se after structural relaxation, with properties calculated at the PBE-GGA level.

Calculated values
Total magnetic moment (μB/f.u.): 0.00

a = 8.264 Å, b = 8.264 Å, c = 8.264 Å
α = 28.75°, β = 28.75°, γ = 28.75°
Positions (direct):
Ca: 0.765 0.765 0.765
Se: 0.499 0.499 0.499
Cd: 0.994 0.994 0.994
Cd: 0.242 0.242 0.242

Below is CaCd2Se after structural relaxation, with properties calculated at the PBE-GGA level.

Calculated values
Total magnetic moment (μB/f.u.): 0.00

a = 4.081 Å, b = 4.081 Å, c = 6.975 Å
α = 90.00°, β = 90.00°, γ = 90.00°
Positions (direct):
Ca: 0.500 0.500 0.658
Se: 0.000 0.000 0.629
Cd: 0.000 0.000 0.068
Cd: 0.500 0.500 0.145

Below is Ca2SmCdSe4 after structural relaxation, with properties calculated at the PBE-GGA level.

Calculated values
Total magnetic moment (μB/f.u.): 0.00

a = 4.177 Å, b = 7.471 Å, c = 7.158 Å
α = 109.63°, β = 90.00°, γ = 90.00°
Positions (direct):
Ca: 0.500 0.000 0.500
Ca: 0.000 0.500 0.500
Sm: 0.500 0.500 0.000
Cd: 0.000 0.000 0.000
Se: 0.500 0.252 0.244
Se: 0.500 0.748 0.756
Se: 0.000 0.252 0.751
Se: 0.000 0.748 0.249

Below is Ca3Sm3CdSe8 after structural relaxation, with properties calculated at the PBE-GGA level.

Calculated values
Total magnetic moment (μB/f.u.): 0.00

a = 8.326 Å, b = 8.326 Å, c = 8.384 Å
α = 119.77°, β = 90.00°, γ = 120.00°
Positions (direct):
Ca: 0.000 0.000 0.000
Ca: 0.000 0.500 0.000
Ca: 0.500 0.500 0.000
Sm: 0.500 0.000 0.500
Sm: 0.500 0.500 0.500
Sm: 0.000 0.500 0.500
Cd: 0.000 0.000 0.500
Se: 0.250 0.500 0.250
Se: 0.750 0.500 0.750
Se: 0.754 0.507 0.256
Se: 0.246 0.493 0.744
Se: 0.754 0.003 0.256
Se: 0.246 0.997 0.744
Se: 0.249 0.003 0.256
Se: 0.751 0.997 0.744

Below is Sr2CaCdSe4 after structural relaxation, with properties calculated at the PBE-GGA level.

Calculated values
Total magnetic moment (μB/f.u.): 0.00

a = 4.304 Å, b = 7.489 Å, c = 7.436 Å
α = 110.19°, β = 90.00°, γ = 90.00°
Positions (direct):
Sr: 0.500 0.000 0.500
Sr: 0.000 0.500 0.500
Ca: 0.500 0.500 0.000
Cd: 0.000 0.000 0.000
Se: 0.500 0.237 0.227
Se: 0.500 0.763 0.773
Se: 0.000 0.255 0.763
Se: 0.000 0.745 0.237

Below is Ca2TbCdSe4 after structural relaxation, with properties calculated at the PBE-GGA level.

Calculated values
Total magnetic moment (μB/f.u.): 0.00

a = 4.154 Å, b = 7.448 Å, c = 7.105 Å
α = 109.63°, β = 90.00°, γ = 90.00°
Positions (direct):
Ca: 0.500 0.000 0.500
Ca: 0.000 0.500 0.500
Tb: 0.500 0.500 0.000
Cd: 0.000 0.000 0.000
Se: 0.500 0.254 0.241
Se: 0.500 0.746 0.759
Se: 0.000 0.256 0.755
Se: 0.000 0.744 0.245

Below is CaCdWSe2 after structural relaxation, with properties calculated at the PBE-GGA level.

Calculated values
Total magnetic moment (μB/f.u.): 4.05

a = 5.328 Å, b = 5.202 Å, c = 5.328 Å
α = 90.00°, β = 90.00°, γ = 90.00°
Positions (direct):
Ca: 0.500 0.500 0.500
Se: 0.000 0.000 0.500
Se: 0.500 0.000 0.000
W: 0.000 0.500 0.000
Cd: 0.000 0.000 0.000

Below is Ca5Cd2Si2 after structural relaxation, with properties calculated at the PBE-GGA level.

Calculated values
Total magnetic moment (μB/f.u.): 0.00

a = 7.746 Å, b = 7.738 Å, c = 9.337 Å
α = 90.00°, β = 65.49°, γ = 90.00°
Positions (direct):
Ca: 0.000 0.000 0.000
Ca: 0.500 0.500 0.000
Ca: 0.443 0.179 0.753
Ca: 0.804 0.821 0.753
Ca: 0.304 0.679 0.753
Ca: 0.943 0.321 0.753
Ca: 0.557 0.821 0.247
Ca: 0.196 0.179 0.247
Ca: 0.696 0.321 0.247
Ca: 0.057 0.679 0.247
Cd: 0.218 0.000 0.564
Cd: 0.718 0.500 0.564
Cd: 0.782 0.000 0.436
Cd: 0.282 0.500 0.436
Si: 0.111 0.389 0.000
Si: 0.889 0.611 0.000
Si: 0.389 0.889 0.000
Si: 0.611 0.111 0.000

Below is CaCd3Si after structural relaxation, with properties calculated at the PBE-GGA level.

Calculated values
Total magnetic moment (μB/f.u.): 0.00

a = 5.212 Å, b = 5.212 Å, c = 5.212 Å
α = 90.00°, β = 90.00°, γ = 90.00°
Positions (direct):
Ca: 0.500 0.500 0.500
Si: 0.000 0.000 0.000
Cd: 0.000 0.500 0.000
Cd: 0.000 0.000 0.500
Cd: 0.500 0.000 0.000

no.,uncorrected formation energy (meV/atom),D(E_F) (states/eV/f.u.)
1,-150,3.35
2,94,8.23
3,-510,0.82
4,-612,0.30
5,-686,1.01
6,-1550,3.77
7,-1718,4.04
8,-1631,0.00
9,-1547,3.76
10,890,3.55
11,-372,7.09
12,176,3.89